Version 1
Ag2Bi2Pt | PBE | optimized geometry

a = 7.242 Å, b = 7.242 Å, c = 4.324 Å
α = 90.00°, β = 90.00°, γ = 90.00°
Element x y z (fractional)
1 Ag 0.136 0.364 0.000
2 Ag 0.364 0.864 0.000
3 Ag 0.636 0.136 0.000
4 Ag 0.864 0.636 0.000
5 Bi 0.175 0.675 0.500
6 Bi 0.325 0.175 0.500
7 Bi 0.675 0.825 0.500
8 Bi 0.825 0.325 0.500
9 Pt 0.000 0.000 0.000
10 Pt 0.500 0.500 0.000

total moment: 0.000 μB per atom
symmetry: P4/mbm


Version 2
Ag2Bi2Pt | PBE | optimized geometry

a = 7.392 Å, b = 7.392 Å, c = 4.482 Å
α = 90.00°, β = 90.00°, γ = 90.00°
Element x y z (fractional)
1 Ag 0.141 0.359 0.000
2 Ag 0.359 0.859 0.000
3 Ag 0.641 0.141 0.000
4 Ag 0.859 0.641 0.000
5 Bi 0.161 0.661 0.500
6 Bi 0.339 0.161 0.500
7 Bi 0.661 0.839 0.500
8 Bi 0.839 0.339 0.500
9 Pt 0.000 0.000 0.500
10 Pt 0.500 0.500 0.500

total moment: 0.000 μB per atom
symmetry: P4/mbm


Relative stability in meV per atom, measured from the most stable structure: version 1 0; version 2 30


Version 1
AgBi2Pt2 | PBE | optimized geometry

a = 7.565 Å, b = 7.565 Å, c = 3.832 Å
α = 90.00°, β = 90.00°, γ = 90.00°
Element x y z (fractional)
1 Ag 0.000 0.000 0.000
2 Ag 0.500 0.500 0.000
3 Bi 0.166 0.334 0.500
4 Bi 0.334 0.834 0.500
5 Bi 0.666 0.166 0.500
6 Bi 0.834 0.666 0.500
7 Pt 0.136 0.636 0.000
8 Pt 0.364 0.136 0.000
9 Pt 0.636 0.864 0.000
10 Pt 0.864 0.364 0.000

total moment: 0.000 μB per atom
symmetry: P4/mbm


Version 2
AgBi2Pt2 | PBE | optimized geometry

a = 5.600 Å, b = 5.600 Å, c = 5.600 Å
α = 121.79°, β = 121.79°, γ = 86.93°
Element x y z (fractional)
1 Ag 0.000 0.000 0.000
2 Bi 0.250 0.750 0.500
3 Bi 0.750 0.250 0.500
4 Pt 0.342 0.342 0.000
5 Pt 0.658 0.658 0.000

total moment: 0.000 μB per atom
symmetry: I4/mmm


Relative stability in meV per atom, measured from the most stable structure: version 1 0; version 2 142


Version 1
AgBi2Pt2 | PBE | optimized geometry

a = 8.291 Å, b = 8.291 Å, c = 8.291 Å
α = 152.84°, β = 152.84°, γ = 38.79°
Element x y z (fractional)
1 Ag 0.000 0.000 0.000
2 Bi 0.383 0.383 0.000
3 Bi 0.617 0.617 0.000
4 Pt 0.250 0.750 0.500
5 Pt 0.750 0.250 0.500

total moment: 0.000 μB per atom
symmetry: I4/mmm


Version 2
AgBi2Pt2 | PBE | optimized geometry

a = 8.056 Å, b = 8.056 Å, c = 3.477 Å
α = 90.00°, β = 90.00°, γ = 90.00°
Element x y z (fractional)
1 Ag 0.000 0.000 0.000
2 Ag 0.500 0.500 0.000
3 Bi 0.164 0.336 0.000
4 Bi 0.336 0.836 0.000
5 Bi 0.664 0.164 0.000
6 Bi 0.836 0.664 0.000
7 Pt 0.131 0.631 0.500
8 Pt 0.369 0.131 0.500
9 Pt 0.631 0.869 0.500
10 Pt 0.869 0.369 0.500

total moment: 0.000 μB per atom
symmetry: P4/mbm


Relative stability in meV per atom, measured from the most stable structure: version 1 0; version 2 83